## SbPd14Au (PBE)

Data for a geometry-optimized SbPd14Au structure.

Cell and atoms, written as POSCAR:
```
SbPd14Au
1.0
-0.387 3.061 -4.683
1.371 -5.421 -0.433
-8.917 -2.199 -0.701
Sb Pd Au
1 14 1
Direct
0.546 0.454 0.500
0.203 0.797 0.000
0.704 0.296 0.000
0.045 0.453 0.500
0.204 0.297 0.000
0.547 0.955 0.500
0.703 0.796 0.000
0.377 0.126 0.751
0.377 0.126 0.249
0.874 0.623 0.751
0.874 0.623 0.249
0.375 0.625 0.751
0.375 0.625 0.249
0.875 0.125 0.754
0.875 0.125 0.246
0.045 0.955 0.500
```

Properties
E_form (uncorrected), eV per atom: -0.0897
Size of the total moment, Bohr magnetons per cell: 0.00

***

## SbPd3Au (PBE)

Data for a geometry-optimized SbPd3Au structure.

Cell and atoms, written as POSCAR:
```
SbPd3Au
1.0
7.533 2.402 -0.102
-7.533 2.402 -0.102
0.000 1.044 4.696
Sb Pd Au
2 6 2
Direct
0.141 0.859 0.250
0.859 0.141 0.750
0.946 0.054 0.250
0.750 0.250 0.250
0.448 0.552 0.750
0.552 0.448 0.250
0.054 0.946 0.750
0.250 0.750 0.750
0.647 0.353 0.750
0.353 0.647 0.250
```

Properties
E_form (uncorrected), eV per atom: -0.2798
Size of the total moment, Bohr magnetons per cell: 0.00